# 1
# PmSiGe2 | the Alexandria database | PBE | optimized geometry
data_PmSiGe2
_chemical_formula_sum 'Pm3 Si3 Ge6'
_symmetry_space_group_name_H-M 'P 31 2 1'
_symmetry_Int_Tables_number 152
_symmetry_space_group_name_Hall 'P 31 2"'
_cell_length_a 5.6866
_cell_length_b 5.6866
_cell_length_c 9.4979
_cell_angle_alpha 90.00
_cell_angle_beta 90.00
_cell_angle_gamma 120.00
loop_
_atom_site_label
_atom_site_type_symbol
_atom_site_fract_x
_atom_site_fract_y
_atom_site_fract_z
Pm1 Pm 0.0000 0.4619 0.1667
Si1 Si 0.0000 0.4862 0.6667
Ge1 Ge 0.0811 0.2598 0.8706
# Formation energy (no corrections) in kJ/mol of atoms: -27.6
# Polymorph energy (0 for the lowest one) in eV per formula unit: 0.084

***

# 2
# PmNd5Dy2Ho | the Alexandria database | PBE | optimized geometry
data_PmNd5Dy2Ho
_chemical_formula_sum 'Pm4 Nd20 Dy8 Ho4'
_symmetry_space_group_name_H-M 'C m c 21'
_symmetry_Int_Tables_number 36
_symmetry_space_group_name_Hall 'C 2c -2'
_cell_length_a 5.675
_cell_length_b 20.461
_cell_length_c 10.752
_cell_angle_alpha 90.00
_cell_angle_beta 90.00
_cell_angle_gamma 90.00
loop_
_atom_site_label
_atom_site_type_symbol
_atom_site_fract_x
_atom_site_fract_y
_atom_site_fract_z
Pm1 Pm 0.000 0.201 0.000
Nd1 Nd 0.000 0.016 0.011
Nd2 Nd 0.000 0.281 0.300
Nd3 Nd 0.000 0.297 0.694
Nd4 Nd 0.000 0.390 0.015
Nd5 Nd 0.000 0.481 0.734
Dy1 Dy 0.000 0.111 0.728
Dy2 Dy 0.000 0.116 0.306
Ho1 Ho 0.000 0.410 0.450
# Calculated formation energy in eV/atom: 0.14

***

# 3
# TiAsPtSe2 | the Alexandria database | PBE | optimized geometry
data_TiAsPtSe2
_chemical_formula_sum 'Ti1 As1 Pt1 Se2'
_symmetry_space_group_name_H-M 'P 4/m m m'
_symmetry_Int_Tables_number 123
_symmetry_space_group_name_Hall '-P 4 2'
_cell_length_a 4.797
_cell_length_b 4.797
_cell_length_c 4.910
_cell_angle_alpha 90.00
_cell_angle_beta 90.00
_cell_angle_gamma 90.00
loop_
_atom_site_label
_atom_site_type_symbol
_atom_site_fract_x
_atom_site_fract_y
_atom_site_fract_z
Ti1 Ti 0.000 0.000 0.000
As1 As 0.000 0.000 0.500
Pt1 Pt 0.500 0.500 0.500
Se1 Se 0.000 0.500 0.000
# Formation energy (no corrections) in kJ/mol of atoms: 32.9
# Polymorph energy (0 for the lowest one) in eV per formula unit: 0.000

***

# 4
# Tb6BiPd2 | the Alexandria database | PBE | optimized geometry
data_Tb6BiPd2
_chemical_formula_sum 'Tb24 Bi4 Pd8'
_symmetry_space_group_name_H-M 'I m m m'
_symmetry_Int_Tables_number 71
_symmetry_space_group_name_Hall '-I 2 2'
_cell_length_a 9.451
_cell_length_b 10.048
_cell_length_c 10.599
_cell_angle_alpha 90.00
_cell_angle_beta 90.00
_cell_angle_gamma 90.00
loop_
_atom_site_label
_atom_site_type_symbol
_atom_site_fract_x
_atom_site_fract_y
_atom_site_fract_z
Tb1 Tb 0.000 0.204 0.233
Tb2 Tb 0.194 0.500 0.173
Tb3 Tb 0.208 0.317 0.500
Bi1 Bi 0.000 0.000 0.000
Bi2 Bi 0.000 0.000 0.500
Pd1 Pd 0.000 0.348 0.000
Pd2 Pd 0.000 0.500 0.369
# Calculated formation energy in eV/atom: -0.56